(1)
Here is a geometry-optimized Sc2AgHAu structure from Alexandria. Energies are from GGA-PBE.

Properties
V in A^3/atom: 16.21
Final energy in eV per atom: -4.867
SG: P4/mmm (123)

Unit cell a=4.557 b=4.557 c=3.903 alpha=90.00 beta=90.00 gamma=90.00
Last column: magnetic moment on the atom in μB.
Fractional coordinates of all 5 atoms:
Sc 0.000 0.500 0.000  0.08
Sc 0.500 0.000 0.000  0.08
H 0.000 0.000 0.000  0.00
Au 0.500 0.500 0.500  0.00
Ag 0.000 0.000 0.500  0.00

=====

(2)
Here is a geometry-optimized Cd9Ga2Hg structure from Alexandria. Energies are from GGA-PBE.

Properties
V in A^3/atom: 23.10
Offset from the most stable computed form in meV/atom: 20
Formation enthalpy at 0 K in eV per atom: 0.0635
Final energy in eV per atom: -1.152
SG: P6/mmm (191)

Unit cell a=3.572 b=9.467 c=9.467 alpha=120.00 beta=90.00 gamma=90.00
Fractional coordinates of all 12 atoms:
Cd 0.000 0.000 0.500
Cd 0.000 0.500 0.500
Cd 0.000 0.500 0.000
Cd 0.500 0.361 0.180
Cd 0.500 0.180 0.820
Cd 0.500 0.180 0.361
Cd 0.500 0.820 0.639
Cd 0.500 0.820 0.180
Cd 0.500 0.639 0.820
Ga 0.000 0.333 0.667
Ga 0.000 0.667 0.333
Hg 0.000 0.000 0.000

=====

(3)
Here is a geometry-optimized Rb3La2NpSe6 structure from Alexandria. Energies are from GGA-PBE.

Properties
V in A^3/atom: 33.98
Final energy in eV per atom: -5.495
SG: C2/m (12)

Unit cell a=7.677 b=7.677 c=8.388 alpha=98.75 beta=98.75 gamma=120.00
Last column: magnetic moment on the atom in μB.
Fractional coordinates of all 12 atoms:
Rb 0.168 0.832 0.500  0.00
Rb 0.832 0.168 0.500  0.00
Rb 0.500 0.500 0.500  0.00
La 0.334 0.666 0.000  0.02
La 0.666 0.334 0.000  0.02
Np 0.000 0.000 0.000  3.91
Se 0.933 0.607 0.800  -0.02
Se 0.741 0.741 0.201  -0.02
Se 0.067 0.393 0.200  -0.02
Se 0.607 0.933 0.800  -0.02
Se 0.259 0.259 0.799  -0.02
Se 0.393 0.067 0.200  -0.02

=====

(4)
Here is a geometry-optimized Hf5O2 structure from Alexandria. Energies are from GGA-PBE.

Properties
V in A^3/atom: 16.51
Final energy in eV per atom: -10.065
SG: C2/c (15)

Unit cell a=5.627 b=6.036 c=8.498 alpha=119.94 beta=109.33 gamma=90.00
Fractional coordinates of all 14 atoms:
Hf 0.185 0.254 0.204
Hf 0.982 0.246 0.796
Hf 0.216 0.755 0.601
Hf 0.615 0.745 0.399
Hf 0.784 0.245 0.399
Hf 0.385 0.255 0.601
Hf 0.018 0.754 0.204
Hf 0.815 0.746 0.796
Hf 0.591 0.250 0.000
Hf 0.409 0.750 0.000
O 0.102 0.498 0.698
O 0.405 0.002 0.302
O 0.898 0.502 0.302
O 0.595 0.998 0.698

=====

(5)
Here is a geometry-optimized Si3IrRu3 structure from Alexandria. Energies are from GGA-PBE.

Properties
V in A^3/atom: 13.81
Final energy in eV per atom: -8.067
SG: Pnma (62)

Unit cell a=3.782 b=10.254 c=9.969 alpha=90.00 beta=90.00 gamma=90.00
Fractional coordinates of all 28 atoms:
Si 0.750 0.913 0.907
Si 0.250 0.587 0.407
Si 0.250 0.087 0.093
Si 0.750 0.413 0.593
Si 0.750 0.918 0.415
Si 0.250 0.582 0.915
Si 0.250 0.082 0.585
Si 0.750 0.418 0.085
Si 0.750 0.714 0.153
Si 0.250 0.786 0.653
Si 0.250 0.286 0.847
Si 0.750 0.214 0.347
Ir 0.750 0.954 0.155
Ir 0.250 0.546 0.655
Ir 0.250 0.046 0.845
Ir 0.750 0.454 0.345
Ru 0.750 0.702 0.796
Ru 0.250 0.798 0.296
Ru 0.250 0.298 0.204
Ru 0.750 0.202 0.704
Ru 0.750 0.201 0.990
Ru 0.250 0.299 0.490
Ru 0.250 0.799 0.010
Ru 0.750 0.701 0.510
Ru 0.750 0.939 0.660
Ru 0.250 0.561 0.160
Ru 0.250 0.061 0.340
Ru 0.750 0.439 0.840

=====

(6)
Here is a geometry-optimized La2Ce4Ge3O2 structure from Alexandria. Energies are from GGA-PBE.

Properties
V in A^3/atom: 24.64
Final energy in eV per atom: -6.694
SG: I4/mmm (139)

Unit cell a=4.682 b=4.682 c=12.803 alpha=100.53 beta=100.53 gamma=90.00
Last column: magnetic moment on the atom in μB.
Fractional coordinates of all 11 atoms:
La 0.300 0.300 0.601  0.09
La 0.700 0.700 0.399  0.09
Ce 0.420 0.920 0.840  0.59
Ce 0.920 0.420 0.840  0.59
Ce 0.080 0.580 0.160  0.59
Ce 0.580 0.080 0.160  0.59
Ge 0.000 0.000 0.000  -0.04
Ge 0.170 0.170 0.341  -0.03
Ge 0.830 0.830 0.659  -0.03
O 0.403 0.403 0.805  -0.02
O 0.597 0.597 0.195  -0.02

=====

(7)
Here is a geometry-optimized TaSnBiRu structure from Alexandria. Energies are from GGA-PBE.

Properties
V in A^3/atom: 20.43
Offset from the most stable computed form in meV/atom: 255
Formation enthalpy at 0 K in eV per atom: 0.2112
Final energy in eV per atom: -7.042
SG: Cm (8)

Unit cell a=3.193 b=5.332 c=5.381 alpha=109.88 beta=107.25 gamma=90.06
Fractional coordinates of all 4 atoms:
Ta 0.780 0.606 0.730
Sn 0.222 0.074 0.614
Bi 0.015 0.434 0.198
Ru 0.471 0.947 0.112

=====

(8)
Here is a geometry-optimized Pm2MnPt9 structure from Alexandria. Energies are from GGA-PBE.

Properties
V in A^3/atom: 17.29
Formation enthalpy at 0 K in eV per atom: -0.6908
Final energy in eV per atom: -6.777
SG: P4/mmm (123)

Unit cell a=4.118 b=4.118 c=12.233 alpha=90.00 beta=90.00 gamma=90.00
Last column: magnetic moment on the atom in μB.
Fractional coordinates of all 12 atoms:
Pm 0.000 0.000 0.327  -0.01
Pm 0.000 0.000 0.673  -0.01
Mn 0.000 0.000 0.000  3.86
Pt 0.500 0.500 0.000  0.07
Pt 0.500 0.500 0.325  -0.02
Pt 0.500 0.500 0.675  -0.02
Pt 0.500 0.000 0.150  0.08
Pt 0.500 0.000 0.500  -0.03
Pt 0.500 0.000 0.850  0.08
Pt 0.000 0.500 0.150  0.08
Pt 0.000 0.500 0.500  -0.03
Pt 0.000 0.500 0.850  0.08

=====

(9)
Here is a geometry-optimized ZnAsRh2 structure from Alexandria. Energies are from GGA-PBE.

Properties
V in A^3/atom: 14.85
Offset from the most stable computed form in meV/atom: 73
Formation enthalpy at 0 K in eV per atom: -0.2694
Final energy in eV per atom: -5.426
SG: P2/m (10)

Unit cell a=3.047 b=5.096 c=5.072 alpha=48.98 beta=90.00 gamma=90.00
Fractional coordinates of all 4 atoms:
As 0.000 0.000 0.500
Rh 0.000 0.000 0.000
Rh 0.500 0.500 0.000
Zn 0.500 0.500 0.500

=====

(10)
Here is a geometry-optimized Ca4Ga12Ir structure from Alexandria. Energies are from GGA-PBE.

Properties
V in A^3/atom: 19.69
Formation enthalpy at 0 K in eV per atom: -0.4146
Final energy in eV per atom: -3.543
SG: Im-3m (229)

Unit cell a=7.576 b=7.576 c=7.576 alpha=109.47 beta=109.47 gamma=109.47
Fractional coordinates of all 17 atoms:
Ca 0.000 0.000 0.500
Ca 0.500 0.000 0.000
Ca 0.500 0.500 0.500
Ca 0.000 0.500 0.000
Ga 0.000 0.290 0.290
Ga 0.000 0.710 0.710
Ga 0.710 0.710 0.000
Ga 0.290 0.290 0.000
Ga 0.290 0.000 0.290
Ga 0.710 0.000 0.710
Ga 0.500 0.250 0.750
Ga 0.500 0.750 0.250
Ga 0.750 0.250 0.500
Ga 0.250 0.750 0.500
Ga 0.750 0.500 0.250
Ga 0.250 0.500 0.750
Ir 0.000 0.000 0.000

=====

(11)
Here is a geometry-optimized HfNbTc2 structure from Alexandria. Energies are from GGA-PBE.

Properties
V in A^3/atom: 18.05
Offset from the most stable computed form in meV/atom: 820
Formation enthalpy at 0 K in eV per atom: 0.3734
Final energy in eV per atom: -9.815
SG: I-42d (122)

Unit cell a=7.165 b=7.165 c=5.795 alpha=51.82 beta=51.82 gamma=90.00
Fractional coordinates of all 8 atoms:
Nb 0.500 0.500 0.000
Nb 0.250 0.750 0.500
Hf 0.000 0.000 0.000
Hf 0.750 0.250 0.500
Tc 0.612 0.125 0.250
Tc 0.138 0.625 0.250
Tc 0.375 0.388 0.750
Tc 0.875 0.862 0.750

=====

(12)
Here is a geometry-optimized CeSm2Pb structure from Alexandria. Energies are from GGA-PBE.

Properties
V in A^3/atom: 29.51
Offset from the most stable computed form in meV/atom: 0
Formation enthalpy at 0 K in eV per atom: -0.2792
Final energy in eV per atom: -5.049
SG: P4/mmm (123)

Unit cell a=4.733 b=4.994 c=4.994 alpha=90.00 beta=90.00 gamma=90.00
Last column: magnetic moment on the atom in μB.
Fractional coordinates of all 4 atoms:
Pb 0.500 0.000 0.000  -0.01
Ce 0.500 0.500 0.500  0.49
Sm 0.000 0.000 0.500  0.02
Sm 0.000 0.500 0.000  0.02

=====

(13)
Here is a geometry-optimized PdS2Cl2O6 structure from Alexandria. Energies are from GGA-PBE.

Properties
V in A^3/atom: 19.86
Final energy in eV per atom: -5.087
SG: P-3 (147)

Unit cell a=5.148 b=5.148 c=9.516 alpha=90.00 beta=90.00 gamma=120.00
Last column: magnetic moment on the atom in μB.
Fractional coordinates of all 11 atoms:
Pd 0.000 0.000 0.000  1.40
S 0.333 0.667 0.825  0.01
S 0.667 0.333 0.175  0.01
Cl 0.333 0.667 0.610  0.03
Cl 0.667 0.333 0.390  0.03
O 0.315 0.382 0.863  0.07
O 0.067 0.685 0.863  0.07
O 0.618 0.933 0.863  0.07
O 0.685 0.618 0.137  0.07
O 0.933 0.315 0.137  0.07
O 0.382 0.067 0.137  0.07

=====

(14)
Here is a geometry-optimized Zn2CrW structure from Alexandria. Energies are from GGA-PBE.

Properties
V in A^3/atom: 14.72
Offset from the most stable computed form in meV/atom: 97
Formation enthalpy at 0 K in eV per atom: 0.2753
Final energy in eV per atom: -6.006
SG: P4mm (99)

Unit cell a=2.747 b=2.747 c=7.801 alpha=90.00 beta=90.00 gamma=90.00
Last column: magnetic moment on the atom in μB.
Fractional coordinates of all 4 atoms:
Cr 0.000 0.000 0.495  2.60
W 0.500 0.500 0.746  0.02
Zn 0.000 0.000 0.007  0.01
Zn 0.500 0.500 0.252  -0.02

=====

(15)
Here is a geometry-optimized Tb4In2Hg structure from Alexandria. Energies are from GGA-PBE.

Properties
V in A^3/atom: 31.05
Offset from the most stable computed form in meV/atom: 247
Formation enthalpy at 0 K in eV per atom: -0.0749
Final energy in eV per atom: -3.546
SG: I4/mmm (139)

Unit cell a=5.748 b=5.748 c=7.732 alpha=111.82 beta=111.82 gamma=90.00
Fractional coordinates of all 7 atoms:
Tb 0.750 0.250 0.500
Tb 0.250 0.750 0.500
Tb 0.500 0.000 0.000
Tb 0.000 0.500 0.000
In 0.625 0.625 0.250
In 0.375 0.375 0.750
Hg 0.000 0.000 0.000

=====

(16)
Here is a geometry-optimized HfNi15Sn4 structure from Alexandria. Energies are from GGA-PBE.

Properties
V in A^3/atom: 12.98
Formation enthalpy at 0 K in eV per atom: -0.2557
Final energy in eV per atom: -5.890
SG: P4/mmm (123)

Unit cell a=3.736 b=3.736 c=18.601 alpha=90.00 beta=90.00 gamma=90.00
Fractional coordinates of all 20 atoms:
Hf 0.000 0.000 0.000
Ni 0.500 0.500 0.000
Ni 0.500 0.500 0.200
Ni 0.500 0.500 0.399
Ni 0.500 0.500 0.601
Ni 0.500 0.500 0.800
Ni 0.500 0.000 0.099
Ni 0.500 0.000 0.300
Ni 0.500 0.000 0.500
Ni 0.500 0.000 0.700
Ni 0.500 0.000 0.901
Ni 0.000 0.500 0.099
Ni 0.000 0.500 0.300
Ni 0.000 0.500 0.500
Ni 0.000 0.500 0.700
Ni 0.000 0.500 0.901
Sn 0.000 0.000 0.200
Sn 0.000 0.000 0.400
Sn 0.000 0.000 0.600
Sn 0.000 0.000 0.800

=====

(17)
Here is a geometry-optimized Ta4CdSe8 structure from Alexandria. Energies are from GGA-PBE.

Properties
V in A^3/atom: 25.43
Final energy in eV per atom: -6.571
SG: R-3m (166)

Unit cell a=6.964 b=6.964 c=8.839 alpha=90.00 beta=113.20 gamma=120.00
Fractional coordinates of all 13 atoms:
Ta 0.000 0.000 0.000
Ta 0.000 0.500 0.000
Ta 0.500 0.500 0.000
Ta 0.500 0.000 0.000
Cd 0.000 0.500 0.500
Se 0.475 0.738 0.213
Se 0.525 0.262 0.787
Se 0.477 0.239 0.214
Se 0.025 0.264 0.786
Se 0.523 0.761 0.786
Se 0.025 0.761 0.786
Se 0.975 0.239 0.214
Se 0.975 0.736 0.214

=====

(18)
Here is a geometry-optimized CsInP structure from Alexandria. Energies are from GGA-PBE.

Properties
V in A^3/atom: 34.72
Offset from the most stable computed form in meV/atom: 19
Formation enthalpy at 0 K in eV per atom: -0.2541
Final energy in eV per atom: -3.255
SG: P2_1/c (14)

Unit cell a=7.736 b=6.960 c=8.435 alpha=113.47 beta=90.00 gamma=90.00
Fractional coordinates of all 12 atoms:
Cs 0.378 0.210 0.905
Cs 0.622 0.790 0.095
Cs 0.878 0.290 0.595
Cs 0.122 0.710 0.405
In 0.899 0.263 0.070
In 0.601 0.763 0.570
In 0.101 0.737 0.930
In 0.399 0.237 0.430
P 0.368 0.587 0.708
P 0.632 0.413 0.292
P 0.132 0.087 0.208
P 0.868 0.913 0.792

=====

(19)
Here is a geometry-optimized HgOs2 structure from Alexandria. Energies are from GGA-PBE.

Properties
V in A^3/atom: 16.49
Offset from the most stable computed form in meV/atom: 936
Formation enthalpy at 0 K in eV per atom: 1.3317
Final energy in eV per atom: -6.255
SG: P6_3/mmc (194)

Unit cell a=4.598 b=4.598 c=5.403 alpha=90.00 beta=90.00 gamma=120.00
Last column: magnetic moment on the atom in μB.
Fractional coordinates of all 6 atoms:
Hg 0.333 0.667 0.250  0.02
Hg 0.667 0.333 0.750  0.02
Os 0.000 0.000 0.000  0.79
Os 0.000 0.000 0.500  0.79
Os 0.333 0.667 0.750  0.08
Os 0.667 0.333 0.250  0.08

=====

(20)
Here is a geometry-optimized MgCu2Br structure from Alexandria. Energies are from GGA-PBE.

Properties
V in A^3/atom: 18.47
Offset from the most stable computed form in meV/atom: 268
Final energy in eV per atom: -2.737
SG: Immm (71)

Unit cell a=6.019 b=6.019 c=6.019 alpha=144.87 beta=143.71 gamma=51.40
Fractional coordinates of all 4 atoms:
Br 0.250 0.750 0.500
Cu 0.999 0.999 0.000
Cu 0.501 0.501 0.000
Mg 0.750 0.250 0.500

=====

(21)
Here is a geometry-optimized LaNd2Cu2 structure from Alexandria. Energies are from GGA-PBE.

Properties
V in A^3/atom: 26.05
Offset from the most stable computed form in meV/atom: 0
Formation enthalpy at 0 K in eV per atom: -0.0821
Final energy in eV per atom: -4.613
SG: P2_1/m (11)

Unit cell a=3.648 b=5.274 c=13.662 alpha=90.00 beta=97.65 gamma=90.00
Fractional coordinates of all 10 atoms:
La 0.861 0.750 0.720
La 0.139 0.250 0.280
Nd 0.047 0.750 0.094
Nd 0.953 0.250 0.906
Nd 0.229 0.750 0.458
Nd 0.771 0.250 0.542
Cu 0.639 0.750 0.278
Cu 0.361 0.250 0.722
Cu 0.456 0.750 0.911
Cu 0.544 0.250 0.089